VASP calculation (PBE) on crystalline FeW3 at its relaxed geometry.

Computed properties:
Size of the total moment, μB/f.u.: 0.00
ΔH_f (0 K), eV per atom: 0.350
Space group: No. 62
Theoretical density, g/cm3: 16.58

abc: 6.1356 7.7726 5.1026
angles: 90.00 90.00 90.00
Last column: nearest neighbours and their distance in Å.
Atoms (fractional coordinates):
W 0.6965 0.4509 0.1300  3 Fe 2.39-2.66
W 0.1965 0.4509 0.3700  3 Fe 2.39-2.66
W 0.1965 0.0491 0.3700  3 Fe 2.39-2.66
W 0.8035 0.5491 0.6300  3 Fe 2.39-2.66
W 0.9666 0.7500 0.1332  2 Fe 2.48-2.54
W 0.8035 0.9509 0.6300  3 Fe 2.39-2.66
W 0.3035 0.5491 0.8700  3 Fe 2.39-2.66
W 0.3035 0.9509 0.8700  3 Fe 2.39-2.66
W 0.0334 0.2500 0.8668  2 Fe 2.48-2.54
W 0.5334 0.2500 0.6332  2 Fe 2.48-2.54
W 0.6965 0.0491 0.1300  3 Fe 2.39-2.66
W 0.4666 0.7500 0.3668  2 Fe 2.48-2.54
Fe 0.0973 0.7500 0.5932  8 W 2.39-2.66
Fe 0.4027 0.2500 0.0932  8 W 2.39-2.66
Fe 0.9027 0.2500 0.4068  8 W 2.39-2.66
Fe 0.5973 0.7500 0.9068  8 W 2.39-2.66

---

VASP calculation (PBE) on crystalline Nd3TlCu2 at its relaxed geometry.

Computed properties:
Size of the total moment, μB/f.u.: 0.44
ΔH_f (0 K), eV per atom: -0.210
Space group: No. 123
Offset from the most stable computed form, kJ per mole of atoms: 0.0
Theoretical density, g/cm3: 8.32

abc: 3.6233 3.6233 11.6139
angles: 90.00 90.00 90.00
Last column: nearest neighbours and their distance in Å.
Atoms (fractional coordinates):
Nd 0.0000 0.0000 0.0000  8 Cu 3.11
Nd 0.0000 0.0000 0.3081  4 Cu 3.14, 4 Tl 3.40
Nd 0.0000 0.0000 0.6919  4 Cu 3.14, 4 Tl 3.40
Tl 0.5000 0.5000 0.5000  8 Nd 3.40, 4 Tl 3.62
Cu 0.5000 0.5000 0.1520  8 Nd 3.11-3.14
Cu 0.5000 0.5000 0.8480  8 Nd 3.11-3.14

---

VASP calculation (PBE) on crystalline RbLi at its relaxed geometry.

Computed properties:
Size of the total moment, μB/f.u.: 0.00
ΔH_f (0 K), eV per atom: 0.287
Space group: No. 217
Theoretical density, g/cm3: 0.89

abc: 11.1325 11.1325 11.1325
angles: 90.00 90.00 90.00
Last column: nearest neighbours and their distance in Å.
Atoms (fractional coordinates):
Li 0.9084 0.9084 0.0916  3 Li 2.88
Li 0.9084 0.0916 0.9084  3 Li 2.88
Li 0.5916 0.4084 0.4084  3 Li 2.88
Li 0.0916 0.9084 0.9084  3 Li 2.88
Li 0.0916 0.0916 0.0916  3 Li 2.88
Li 0.5916 0.5916 0.5916  3 Li 2.88
Li 0.4084 0.4084 0.5916  3 Li 2.88
Li 0.4084 0.5916 0.4084  3 Li 2.88
Rb 0.7139 0.2861 0.7139  4 Li 3.75-3.91
Rb 0.7139 0.7139 0.2861  4 Li 3.75-3.91
Rb 0.7861 0.7861 0.7861  4 Li 3.75-3.91
Rb 0.2139 0.7861 0.2139  4 Li 3.75-3.91
Rb 0.7861 0.2139 0.2139  4 Li 3.75-3.91
Rb 0.2139 0.2139 0.7861  4 Li 3.75-3.91
Rb 0.2861 0.2861 0.2861  4 Li 3.75-3.91
Rb 0.2861 0.7139 0.7139  4 Li 3.75-3.91

---

VASP calculation (PBE) on crystalline ZrCo5Ge2 at its relaxed geometry.

Computed properties:
Size of the total moment, μB/f.u.: 2.73
ΔH_f (0 K), eV per atom: -0.210
Space group: No. 71
Theoretical density, g/cm3: 8.32

abc: 3.4531 5.9543 5.9543
angles: 67.51 73.14 73.14
Last column: nearest neighbours and their distance in Å.
Atoms (fractional coordinates):
Zr 0.0000 0.0000 0.0000  4 Ge 2.87, 8 Co 2.94
Co 0.3680 0.8242 0.4398  3 Ge 2.30-2.42, 4 Co 2.45-2.54
Co 0.6320 0.1758 0.5602  3 Ge 2.30-2.42, 4 Co 2.45-2.54
Co 0.3680 0.4398 0.8242  3 Ge 2.30-2.42, 4 Co 2.45-2.54
Co 0.0000 0.5000 0.5000  2 Ge 2.34, 8 Co 2.47
Co 0.6320 0.5602 0.1758  3 Ge 2.30-2.42, 4 Co 2.45-2.54
Ge 0.2525 0.2475 0.2475  7 Co 2.30-2.42
Ge 0.7475 0.7525 0.7525  7 Co 2.30-2.42

---

VASP calculation (PBE) on crystalline Pm12Bi3N5 at its relaxed geometry.

Computed properties:
Size of the total moment, μB/f.u.: 2.34
Space group: No. 230
Theoretical density, g/cm3: 7.59
Formation energy (no corrections), meV/atom: -879

abc: 14.0458 14.0458 14.0458
angles: 109.47 109.47 109.47
Last column: nearest neighbours and their distance in Å.
Atoms (fractional coordinates):
Pm 0.4013 0.0085 0.3137  2 N 2.31-2.59
Pm 0.6948 0.1072 0.0085  2 N 2.31-2.59
Pm 0.0085 0.6072 0.6948  2 N 2.31-2.59
Pm 0.0877 0.9013 0.3928  2 N 2.31-2.59
Pm 0.5877 0.8928 0.4013  2 N 2.31-2.59
Pm 0.0987 0.1863 0.4915  2 N 2.31-2.59
Pm 0.6863 0.1948 0.5877  2 N 2.31-2.59
Pm 0.8928 0.3052 0.4915  2 N 2.31-2.59
Pm 0.4013 0.3928 0.5877  2 N 2.31-2.59
Pm 0.3928 0.9915 0.8052  2 N 2.31-2.59
Pm 0.8137 0.9123 0.3052  2 N 2.31-2.59
Pm 0.6072 0.5987 0.9123  2 N 2.31-2.59
Pm 0.3928 0.4013 0.0877  2 N 2.31-2.59
Pm 0.5085 0.3137 0.9013  2 N 2.31-2.59
Pm 0.3052 0.8928 0.9915  2 N 2.31-2.59
Pm 0.1863 0.0877 0.6948  2 N 2.31-2.59
Pm 0.6863 0.4915 0.5987  2 N 2.31-2.59
Pm 0.8137 0.9013 0.0085  2 N 2.31-2.59
Pm 0.3052 0.4123 0.8137  2 N 2.31-2.59
Pm 0.3137 0.5085 0.4013  2 N 2.31-2.59
Pm 0.9915 0.5987 0.1863  2 N 2.31-2.59
Pm 0.9915 0.3928 0.3052  2 N 2.31-2.59
Pm 0.1948 0.6863 0.0877  2 N 2.31-2.59
Pm 0.9123 0.0987 0.6072  2 N 2.31-2.59
Pm 0.6072 0.0085 0.1948  2 N 2.31-2.59
Pm 0.4123 0.3052 0.3137  2 N 2.31-2.59
Pm 0.1863 0.0987 0.9915  2 N 2.31-2.59
Pm 0.1072 0.6948 0.5085  2 N 2.31-2.59
Pm 0.6948 0.5877 0.1863  2 N 2.31-2.59
Pm 0.5877 0.6948 0.6863  2 N 2.31-2.59
Pm 0.9013 0.8137 0.5085  2 N 2.31-2.59
Pm 0.3137 0.8052 0.4123  2 N 2.31-2.59
Pm 0.9123 0.8137 0.8052  2 N 2.31-2.59
Pm 0.5987 0.9915 0.6863  2 N 2.31-2.59
Pm 0.5085 0.1948 0.1072  2 N 2.31-2.59
Pm 0.1948 0.5085 0.6072  2 N 2.31-2.59
Pm 0.8928 0.5877 0.9013  2 N 2.31-2.59
Pm 0.9013 0.0877 0.8928  2 N 2.31-2.59
Pm 0.8052 0.3137 0.9123  2 N 2.31-2.59
Pm 0.1072 0.4123 0.0987  2 N 2.31-2.59
Pm 0.4123 0.1072 0.5987  2 N 2.31-2.59
Pm 0.0987 0.9123 0.1072  2 N 2.31-2.59
Pm 0.8052 0.4915 0.3928  2 N 2.31-2.59
Pm 0.0085 0.4013 0.8137  2 N 2.31-2.59
Pm 0.5987 0.6072 0.4123  2 N 2.31-2.59
Pm 0.0877 0.1863 0.1948  2 N 2.31-2.59
Pm 0.4915 0.8052 0.8928  2 N 2.31-2.59
Pm 0.4915 0.6863 0.0987  2 N 2.31-2.59
Bi 0.3750 0.6250 0.2500  8 Pm 3.25-3.36
Bi 0.1250 0.2500 0.8750  8 Pm 3.25-3.36
Bi 0.6250 0.3750 0.7500  8 Pm 3.25-3.36
Bi 0.6250 0.2500 0.3750  8 Pm 3.25-3.36
Bi 0.2500 0.6250 0.8750  8 Pm 3.25-3.36
Bi 0.7500 0.8750 0.6250  8 Pm 3.25-3.36
Bi 0.8750 0.1250 0.2500  8 Pm 3.25-3.36
Bi 0.1250 0.8750 0.7500  8 Pm 3.25-3.36
Bi 0.3750 0.7500 0.6250  8 Pm 3.25-3.36
Bi 0.8750 0.7500 0.1250  8 Pm 3.25-3.36
Bi 0.2500 0.1250 0.3750  8 Pm 3.25-3.36
Bi 0.7500 0.3750 0.1250  8 Pm 3.25-3.36
N 0.6250 0.7500 0.8750  4 Pm 2.31
N 0.0000 0.5000 0.5000  6 Pm 2.59
N 0.7500 0.1250 0.8750  4 Pm 2.31
N 0.5000 0.5000 0.5000  6 Pm 2.59
N 0.5000 0.5000 0.0000  6 Pm 2.59
N 0.0000 0.0000 0.5000  6 Pm 2.59
N 0.1250 0.7500 0.3750  4 Pm 2.31
N 0.8750 0.6250 0.7500  4 Pm 2.31
N 0.3750 0.1250 0.7500  4 Pm 2.31
N 0.1250 0.3750 0.2500  4 Pm 2.31
N 0.0000 0.5000 0.0000  6 Pm 2.59
N 0.5000 0.0000 0.5000  6 Pm 2.59
N 0.2500 0.8750 0.1250  4 Pm 2.31
N 0.3750 0.2500 0.1250  4 Pm 2.31
N 0.7500 0.6250 0.3750  4 Pm 2.31
N 0.0000 0.0000 0.0000  6 Pm 2.59
N 0.5000 0.0000 0.0000  6 Pm 2.59
N 0.6250 0.8750 0.2500  4 Pm 2.31
N 0.2500 0.3750 0.6250  4 Pm 2.31
N 0.8750 0.2500 0.6250  4 Pm 2.31

---

VASP calculation (PBE) on crystalline KTlAu2 at its relaxed geometry.

Computed properties:
Size of the total moment, μB/f.u.: 0.00
ΔH_f (0 K), eV per atom: -0.153
Space group: No. 6
Offset from the most stable computed form, kJ per mole of atoms: 4.5
Theoretical density, g/cm3: 9.43

abc: 4.6757 4.1883 6.1027
angles: 69.92 90.00 90.00
Last column: nearest neighbours and their distance in Å.
Atoms (fractional coordinates):
Au 0.0000 0.1984 0.9748  2 Au 2.86, 1 K 3.14
Au 0.5000 0.0580 0.2612  2 Au 2.86
K 0.0000 0.4743 0.4270  7 Au 3.14-3.34
Tl 0.5000 0.7693 0.8370  7 Au 3.21-3.30

---

VASP calculation (PBE) on crystalline ErCd2Ni9 at its relaxed geometry.

Computed properties:
Size of the total moment, μB/f.u.: 3.46
ΔH_f (0 K), eV per atom: -0.169
Space group: No. 166
Theoretical density, g/cm3: 9.35

abc: 4.8829 4.8829 8.4065
angles: 73.12 73.12 60.00
Last column: nearest neighbours and their distance in Å.
Atoms (fractional coordinates):
Ni 0.4164 0.4164 0.2486  7 Ni 2.42-2.45
Ni 0.0814 0.5836 0.7514  7 Ni 2.42-2.45
Ni 0.4164 0.9186 0.2486  7 Ni 2.42-2.45
Ni 0.9186 0.4164 0.2486  7 Ni 2.42-2.45
Ni 0.5836 0.5836 0.7514  7 Ni 2.42-2.45
Ni 0.5836 0.0814 0.7514  7 Ni 2.42-2.45
Ni 0.3337 0.3337 0.9989  6 Ni 2.42-2.43
Ni 0.6663 0.6663 0.0011  6 Ni 2.42-2.43
Ni 0.5000 0.5000 0.5000  6 Ni 2.44
Er 0.0000 0.0000 0.0000  18 Ni 2.82-3.14
Cd 0.8572 0.8572 0.4285  12 Ni 2.83-2.92, 3 Cd 3.04
Cd 0.1428 0.1428 0.5715  12 Ni 2.83-2.92, 3 Cd 3.04

---

VASP calculation (PBE) on crystalline TiNb2Rh5 at its relaxed geometry.

Computed properties:
Size of the total moment, μB/f.u.: 0.00
ΔH_f (0 K), eV per atom: -0.554
Space group: No. 55
Theoretical density, g/cm3: 10.12

abc: 4.1329 5.4936 10.8148
angles: 90.00 90.00 90.00
Last column: nearest neighbours and their distance in Å.
Atoms (fractional coordinates):
Rh 0.0000 0.4256 0.7584  1 Ti 2.64, 4 Nb 2.70-2.76, 7 Rh 2.75-2.95
Rh 0.0000 0.5000 0.5000  2 Ti 2.75, 4 Nb 2.76, 6 Rh 2.82-2.91
Rh 0.5000 0.6899 0.8946  2 Ti 2.58, 4 Nb 2.69-2.87
Rh 0.0000 0.0744 0.2584  1 Ti 2.64, 4 Nb 2.70-2.76, 7 Rh 2.75-2.95
Rh 0.0000 0.9256 0.7416  1 Ti 2.64, 4 Nb 2.70-2.76, 7 Rh 2.75-2.95
Rh 0.0000 0.0000 0.0000  2 Ti 2.75, 4 Nb 2.76, 6 Rh 2.82-2.91
Rh 0.0000 0.5744 0.2416  1 Ti 2.64, 4 Nb 2.70-2.76, 7 Rh 2.75-2.95
Rh 0.5000 0.3101 0.1054  2 Ti 2.58, 4 Nb 2.69-2.87
Rh 0.5000 0.1899 0.6054  2 Ti 2.58, 4 Nb 2.69-2.87
Rh 0.5000 0.8101 0.3946  2 Ti 2.58, 4 Nb 2.69-2.87
Ti 0.0000 0.0000 0.5000  8 Rh 2.58-2.75
Ti 0.0000 0.5000 0.0000  8 Rh 2.58-2.75
Nb 0.5000 0.8266 0.1445  10 Rh 2.69-2.87
Nb 0.5000 0.3266 0.3555  10 Rh 2.69-2.87
Nb 0.5000 0.6734 0.6445  10 Rh 2.69-2.87
Nb 0.5000 0.1734 0.8555  10 Rh 2.69-2.87